ReSb | PBE-GGA | optimized geometry

CIF file:
```
data_ReSb
_cell_length_a 5.5071
_cell_length_b 5.5071
_cell_length_c 5.5071
_cell_angle_alpha 90.00
_cell_angle_beta 90.00
_cell_angle_gamma 90.00
_space_group_name_H-M_alt 'F m -3 m'
_space_group_IT_number 225
_space_group_name_Hall '-F 4 2 3'
loop_
_atom_site_label
_atom_site_type_symbol
_atom_site_fract_x
_atom_site_fract_y
_atom_site_fract_z
Re1 Re 0.0000 0.0000 0.0000
Sb1 Sb 0.0000 0.0000 0.5000
```

Calculated values
Offset from the most stable computed form in meV/atom: 1029

---

Re3Sb4 | PBE-GGA | optimized geometry

CIF file:
```
data_Re3Sb4
_cell_length_a 3.1471
_cell_length_b 3.1471
_cell_length_c 29.9829
_cell_angle_alpha 90.00
_cell_angle_beta 90.00
_cell_angle_gamma 90.00
_space_group_name_H-M_alt 'I 4/m m m'
_space_group_IT_number 139
_space_group_name_Hall '-I 4 2'
loop_
_atom_site_label
_atom_site_type_symbol
_atom_site_fract_x
_atom_site_fract_y
_atom_site_fract_z
Re1 Re 0.0000 0.0000 0.0000
Re2 Re 0.0000 0.0000 0.2763
Sb1 Sb 0.0000 0.0000 0.1624
Sb2 Sb 0.0000 0.0000 0.4431
```

Calculated values
Offset from the most stable computed form in meV/atom: 0

---

ReSb2 | PBE-GGA | optimized geometry

CIF file:
```
data_ReSb2
_cell_length_a 4.6196
_cell_length_b 4.6196
_cell_length_c 3.2660
_cell_angle_alpha 90.00
_cell_angle_beta 90.00
_cell_angle_gamma 90.00
_space_group_name_H-M_alt 'P 4/m m m'
_space_group_IT_number 123
_space_group_name_Hall '-P 4 2'
loop_
_atom_site_label
_atom_site_type_symbol
_atom_site_fract_x
_atom_site_fract_y
_atom_site_fract_z
Re1 Re 0.0000 0.0000 0.0000
Sb1 Sb 0.0000 0.5000 0.5000
```

---

ReSb | PBE-GGA | optimized geometry

CIF file:
```
data_ReSb
_cell_length_a 10.1520
_cell_length_b 10.1520
_cell_length_c 3.9126
_cell_angle_alpha 90.00
_cell_angle_beta 90.00
_cell_angle_gamma 90.00
_space_group_name_H-M_alt 'P 4/m'
_space_group_IT_number 83
_space_group_name_Hall '-P 4'
loop_
_atom_site_label
_atom_site_type_symbol
_atom_site_fract_x
_atom_site_fract_y
_atom_site_fract_z
Re1 Re 0.0691 0.6075 0.0000
Re2 Re 0.0829 0.3886 0.5000
Sb1 Sb 0.1690 0.7665 0.5000
Sb2 Sb 0.2836 0.4525 0.0000
```

Calculated values
Offset from the most stable computed form in meV/atom: 335

---

ReSb2 | PBE-GGA | optimized geometry

CIF file:
```
data_ReSb2
_cell_length_a 5.1270
_cell_length_b 5.1270
_cell_length_c 2.8890
_cell_angle_alpha 90.00
_cell_angle_beta 90.00
_cell_angle_gamma 120.00
_space_group_name_H-M_alt 'P 6/m m m'
_space_group_IT_number 191
_space_group_name_Hall '-P 6 2'
loop_
_atom_site_label
_atom_site_type_symbol
_atom_site_fract_x
_atom_site_fract_y
_atom_site_fract_z
Re1 Re 0.0000 0.0000 0.0000
Sb1 Sb 0.3333 0.6667 0.5000
```

---

ReSb | PBE-GGA | optimized geometry

CIF file:
```
data_ReSb
_cell_length_a 4.5909
_cell_length_b 4.5909
_cell_length_c 5.4685
_cell_angle_alpha 90.00
_cell_angle_beta 90.00
_cell_angle_gamma 120.00
_space_group_name_H-M_alt 'P 63/m m c'
_space_group_IT_number 194
_space_group_name_Hall '-P 6c 2c'
loop_
_atom_site_label
_atom_site_type_symbol
_atom_site_fract_x
_atom_site_fract_y
_atom_site_fract_z
Re1 Re 0.3333 0.6667 0.2500
Sb1 Sb 0.3333 0.6667 0.7500
```

Calculated values
Offset from the most stable computed form in meV/atom: 1072

---

ReSb | PBE-GGA | optimized geometry

CIF file:
```
data_ReSb
_cell_length_a 3.2404
_cell_length_b 3.2404
_cell_length_c 4.0614
_cell_angle_alpha 90.00
_cell_angle_beta 90.00
_cell_angle_gamma 120.00
_space_group_name_H-M_alt 'P -6 m 2'
_space_group_IT_number 187
_space_group_name_Hall 'P -6 2'
loop_
_atom_site_label
_atom_site_type_symbol
_atom_site_fract_x
_atom_site_fract_y
_atom_site_fract_z
Re1 Re 0.0000 0.0000 0.0000
Sb1 Sb 0.6667 0.3333 0.5000
```

Calculated values
Offset from the most stable computed form in meV/atom: 488

---

ReSb8 | PBE-GGA | optimized geometry

CIF file:
```
data_ReSb8
_cell_length_a 11.3431
_cell_length_b 11.3431
_cell_length_c 4.1334
_cell_angle_alpha 90.00
_cell_angle_beta 90.00
_cell_angle_gamma 90.00
_space_group_name_H-M_alt 'I 4/m m m'
_space_group_IT_number 139
_space_group_name_Hall '-I 4 2'
loop_
_atom_site_label
_atom_site_type_symbol
_atom_site_fract_x
_atom_site_fract_y
_atom_site_fract_z
Re1 Re 0.0000 0.0000 0.0000
Sb1 Sb 0.0000 0.2686 0.0000
Sb2 Sb 0.1480 0.1480 0.5000
```

---

Record order is preserved below.
Uncorrected formation energy: 1.249 0.285 0.733 0.555 1.289 1.292 0.708 0.437 eV per atom